Density functional theory data (PBE-GGA) for a relaxed NaGa4Pt2Rh crystal.

Geometry as POSCAR:
```
NaGa4Pt2Rh
1.0
-0.5605 -3.7476 2.3390
0.5731 -3.9561 -1.9623
7.0125 -2.4663 1.9677
Na Ga Pt Rh
1 4 2 1
Direct
0.0000 0.0000 0.0000 Na
0.3798 0.3798 0.8607 Ga
0.8672 0.8672 0.3984 Ga
0.1328 0.1328 0.6016 Ga
0.6202 0.6202 0.1393 Ga
0.7458 0.7458 0.7626 Pt
0.2542 0.2542 0.2374 Pt
0.5000 0.5000 0.5000 Rh
```

Output
calculated total energy	-4.59	eV per atom
size of the total moment	0.0	μB/f.u.
formation energy	-3.84	eV per formula unit

Density functional theory data (PBE-GGA) for a relaxed CdCu2Hg2 crystal.

Geometry as POSCAR:
```
CdCu2Hg2
1.0
4.1300 0.0000 0.0000
0.0000 4.1300 0.0000
2.0650 2.0650 6.0352
Hg Cu Cd
2 2 1
Direct
0.7500 0.2500 0.5000 Hg
0.2500 0.7500 0.5000 Hg
0.4033 0.4033 0.1934 Cu
0.5967 0.5967 0.8066 Cu
0.0000 0.0000 0.0000 Cd
```

Output
calculated total energy	-1.65	eV per atom
energy above the lowest structure with this stoichiometry	152.9	meV per atom
size of the total moment	0.0	μB/f.u.
formation energy	1.45	eV per formula unit

Density functional theory data (PBE-GGA) for a relaxed Ce2SmY6Er3 crystal.

Geometry as POSCAR:
```
Ce2SmY6Er3
1.0
6.1554 -0.0002 0.0018
-3.0764 5.3315 0.0018
-1.0295 -1.7826 11.5921
Ce Sm Y Er
2 1 6 3
Direct
0.3333 0.6667 0.0000 Ce
0.6667 0.3333 0.0000 Ce
0.0000 0.0000 0.0000 Sm
0.9159 0.5804 0.7492 Y
0.7486 0.7486 0.2507 Y
0.0841 0.4196 0.2508 Y
0.5804 0.9159 0.7492 Y
0.2514 0.2514 0.7493 Y
0.4196 0.0841 0.2508 Y
0.1662 0.8338 0.5000 Er
0.8338 0.1662 0.5000 Er
0.5000 0.5000 0.5000 Er
```

Output
calculated total energy	-5.70	eV per atom
size of the total moment	1.9	μB/f.u.
formation energy	0.66	eV per formula unit

Density functional theory data (PBE-GGA) for a relaxed ScAgTe2 crystal.

Geometry as POSCAR:
```
ScAgTe2
1.0
-1.6365 0.8459 -3.6613
-3.9644 -0.7697 -0.7000
-3.5939 6.7958 0.8823
Sc Ag Te
1 1 2
Direct
0.5015 0.5015 0.4956 Sc
0.6649 0.6649 0.0053 Ag
0.0848 0.0848 0.7456 Te
0.2488 0.2488 0.2535 Te
```

Output
calculated total energy	-4.53	eV per atom
size of the total moment	0.0	μB/f.u.
formation energy without anion corrections	-15.31	kcal/mol of atoms

Density functional theory data (PBE-GGA) for a relaxed Rb2SbAs2 crystal.

Geometry as POSCAR:
```
Rb2SbAs2
1.0
-0.3612 -1.5237 3.4260
-2.2775 -2.6450 -1.4165
7.8797 -8.9013 -1.0572
Sb As Rb
1 2 2
Direct
0.0000 0.0000 0.0000 Sb
0.7500 0.2500 0.5000 As
0.2500 0.7500 0.5000 As
0.3857 0.3857 0.2285 Rb
0.6143 0.6143 0.7715 Rb
```

Output
calculated total energy	-3.23	eV per atom
energy above the lowest structure with this stoichiometry	159.9	meV per atom
size of the total moment	0.0	μB/f.u.
formation energy without anion corrections	-3.66	kcal/mol of atoms

Density functional theory data (PBE-GGA) for a relaxed Mg4Cd5Pd2 crystal.

Geometry as POSCAR:
```
Mg4Cd5Pd2
1.0
3.1026 0.0000 0.0000
0.0000 7.5458 0.1059
0.0000 -0.5922 9.5504
Mg Cd Pd
4 5 2
Direct
0.5000 0.7915 0.5603 Mg
0.5000 0.1789 0.8659 Mg
0.5000 0.2085 0.4397 Mg
0.5000 0.8211 0.1341 Mg
0.0000 0.5431 0.3335 Cd
0.0000 0.1813 0.1541 Cd
0.0000 0.5000 0.0000 Cd
0.0000 0.8187 0.8459 Cd
0.0000 0.4569 0.6665 Cd
0.0000 0.0792 0.6455 Pd
0.0000 0.9208 0.3545 Pd
```

Output
calculated total energy	-2.24	eV per atom
size of the total moment	0.0	μB/f.u.
formation energy	-3.35	eV per formula unit

Density functional theory data (PBE-GGA) for a relaxed InS4I crystal.

Geometry as POSCAR:
```
InS4I
1.0
9.5349 -1.3374 -1.8667
-1.9208 9.2365 5.0803
-1.8482 4.0124 6.7606
In S I
2 8 2
Direct
0.7068 0.8396 0.4559 In
0.2932 0.1604 0.5441 In
0.2349 0.4994 0.3261 S
0.1338 0.7914 0.8074 S
0.6756 0.1285 0.5587 S
0.5804 0.0343 0.8301 S
0.7651 0.5006 0.6739 S
0.3244 0.8715 0.4413 S
0.8662 0.2086 0.1926 S
0.4196 0.9657 0.1699 S
0.7699 0.5829 0.1098 I
0.2301 0.4171 0.8902 I
```

Output
calculated total energy	-3.50	eV per atom
size of the total moment	0.0	μB/f.u.
formation energy without anion corrections	-0.89	kcal/mol of atoms

Density functional theory data (PBE-GGA) for a relaxed HgPbBr2 crystal.

Geometry as POSCAR:
```
HgPbBr2
1.0
6.4693 -0.0815 0.0374
1.6159 6.2648 -0.0374
-3.0570 -4.3805 3.6506
Pb Hg Br
1 1 2
Direct
0.2500 0.7500 0.5000 Pb
0.7500 0.2500 0.5000 Hg
0.0472 0.0472 0.0000 Br
0.4528 0.4528 0.0000 Br
```

Output
calculated total energy	-2.33	eV per atom
energy above the lowest structure with this stoichiometry	163.6	meV per atom
size of the total moment	0.0	μB/f.u.
formation energy without anion corrections	-11.31	kcal/mol of atoms

Density functional theory data (PBE-GGA) for a relaxed SrEuHgPb crystal.

Geometry as POSCAR:
```
SrEuHgPb
1.0
5.6811 0.0000 0.0000
2.8406 4.9200 0.0000
2.8406 1.6400 4.6386
Pb Eu Hg Sr
1 1 1 1
Direct
0.2500 0.2500 0.2500 Pb
0.0000 0.0000 0.0000 Eu
0.7500 0.7500 0.7500 Hg
0.5000 0.5000 0.5000 Sr
```

Output
calculated total energy	-4.59	eV per atom
size of the total moment	7.0	μB/f.u.
formation energy	-2.39	eV per formula unit

Density functional theory data (PBE-GGA) for a relaxed NaLaSc2Ru crystal.

Geometry as POSCAR:
```
NaLaSc2Ru
1.0
-0.1076 3.3913 -3.8937
-0.9212 -3.8447 -3.3232
-5.4319 0.6685 0.7323
Sc Ru Na La
2 1 1 1
Direct
0.0000 0.5000 0.0000 Sc
0.5000 0.0000 0.0000 Sc
0.0000 0.0000 0.0000 Ru
0.5000 0.5000 0.5000 Na
0.0000 0.0000 0.5000 La
```

Output
calculated total energy	-5.68	eV per atom
size of the total moment	0.0	μB/f.u.
formation energy	-0.20	eV per formula unit

Density functional theory data (PBE-GGA) for a relaxed Ce3TlO6 crystal.

Geometry as POSCAR:
```
Ce3TlO6
1.0
6.0989 0.0000 0.0000
0.0000 7.3118 -0.0023
0.0000 -1.6339 7.1269
Ce Tl O
6 2 12
Direct
0.4563 0.9171 0.6832 Ce
0.9563 0.6832 0.9171 Ce
0.3978 0.3966 0.6034 Ce
0.8978 0.6034 0.3966 Ce
0.9563 0.0829 0.3168 Ce
0.4563 0.3168 0.0829 Ce
0.9587 0.1831 0.8169 Tl
0.4587 0.8169 0.1831 Tl
0.1621 0.6770 0.6357 O
0.6621 0.6357 0.6770 O
0.2638 0.4960 0.9217 O
0.7638 0.9217 0.4960 O
0.3094 0.0197 0.9803 O
0.5550 0.2195 0.7805 O
0.0550 0.7805 0.2195 O
0.8094 0.9803 0.0197 O
0.2638 0.0783 0.5040 O
0.7638 0.5040 0.0783 O
0.1621 0.3643 0.3230 O
0.6621 0.3230 0.3643 O
```

Output
calculated total energy	-7.89	eV per atom
size of the total moment	1.2	μB/f.u.
formation energy without anion corrections	-66.80	kcal/mol of atoms

Density functional theory data (PBE-GGA) for a relaxed Hf2BeCo crystal.

Geometry as POSCAR:
```
Hf2BeCo
1.0
6.9528 0.0000 0.0000
0.0000 6.9528 0.0000
3.4764 3.4764 2.7862
Co Hf Be
2 4 2
Direct
0.0000 0.0000 0.0000 Co
0.7500 0.2500 0.5000 Co
0.6524 0.1250 0.2500 Hf
0.0976 0.6250 0.2500 Hf
0.3750 0.3476 0.7500 Hf
0.8750 0.9024 0.7500 Hf
0.5000 0.5000 0.0000 Be
0.2500 0.7500 0.5000 Be
```

Output
calculated total energy	-7.34	eV per atom
size of the total moment	0.0	μB/f.u.
formation energy	1.37	eV per formula unit

Density functional theory data (PBE-GGA) for a relaxed PrMnNi4 crystal.

Geometry as POSCAR:
```
PrMnNi4
1.0
5.0842 0.0000 0.0000
-2.5421 4.4031 0.0000
0.0000 0.0000 3.9646
Pr Mn Ni
1 1 4
Direct
0.0000 0.0000 0.0000 Pr
0.3333 0.6667 0.0000 Mn
0.6667 0.3333 0.0000 Ni
0.5024 0.0047 0.5000 Ni
0.9953 0.4976 0.5000 Ni
0.5024 0.4976 0.5000 Ni
```

Output
calculated total energy	-6.38	eV per atom
size of the total moment	4.6	μB/f.u.
formation energy	-1.20	eV per formula unit

Density functional theory data (PBE-GGA) for a relaxed Ho4FeHg crystal.

Geometry as POSCAR:
```
Ho4FeHg
1.0
6.0118 -0.8381 0.0000
-2.6354 8.6738 0.0000
-1.6882 -3.9178 6.2044
Ho Fe Hg
8 2 2
Direct
0.1063 0.2027 0.8392 Ho
0.7717 0.7319 0.6721 Ho
0.2328 0.6365 0.8392 Ho
0.4005 0.9402 0.6721 Ho
0.5995 0.0598 0.3279 Ho
0.7672 0.3635 0.1608 Ho
0.2283 0.2681 0.3279 Ho
0.8937 0.7973 0.1608 Ho
0.2485 0.9985 0.9970 Fe
0.7515 0.0015 0.0030 Fe
0.3785 0.6285 0.2569 Hg
0.6215 0.3715 0.7431 Hg
```

Output
calculated total energy	-4.71	eV per atom
size of the total moment	0.0	μB/f.u.
formation energy	-1.20	eV per formula unit

Density functional theory data (PBE-GGA) for a relaxed EuGdNiPd crystal.

Geometry as POSCAR:
```
EuGdNiPd
1.0
-1.7624 0.8340 -4.5832
-0.3008 -3.7432 -3.2718
-4.4518 -1.8003 -1.3221
Eu Ni Gd Pd
1 1 1 1
Direct
0.5000 0.5000 0.5000 Eu
0.7500 0.7500 0.7500 Ni
0.0000 0.0000 0.0000 Gd
0.2500 0.2500 0.2500 Pd
```

Output
calculated total energy	-9.27	eV per atom
size of the total moment	0.0	μB/f.u.
formation energy	-1.76	eV per formula unit

Density functional theory data (PBE-GGA) for a relaxed MnGaSe crystal.

Geometry as POSCAR:
```
MnGaSe
1.0
-0.7531 3.5468 1.4100
-3.1445 -0.3395 -0.8254
-1.6438 -3.3934 7.6580
Mn Ga Se
2 2 2
Direct
0.5000 0.0000 0.2851 Mn
0.5000 0.5000 0.7851 Mn
0.0000 0.0000 0.8237 Ga
0.0000 0.5000 0.3237 Ga
0.5000 0.0000 0.5753 Se
0.5000 0.5000 0.0753 Se
```

Output
calculated total energy	-5.31	eV per atom
energy above the lowest structure with this stoichiometry	27.6	meV per atom
size of the total moment	2.3	μB/f.u.
formation energy without anion corrections	-1.88	kcal/mol of atoms

Density functional theory data (PBE-GGA) for a relaxed ScGe2As crystal.

Geometry as POSCAR:
```
ScGe2As
1.0
7.6755 0.0000 0.0000
0.0000 7.6755 0.0000
3.8378 3.8378 2.7512
Sc As Ge
2 2 4
Direct
0.5000 0.5000 0.0000 Sc
0.2500 0.7500 0.5000 Sc
0.0000 0.0000 0.0000 As
0.7500 0.2500 0.5000 As
0.6419 0.1250 0.2500 Ge
0.1081 0.6250 0.2500 Ge
0.3750 0.3581 0.7500 Ge
0.8750 0.8919 0.7500 Ge
```

Output
calculated total energy	-5.24	eV per atom
size of the total moment	0.0	μB/f.u.
formation energy	-0.76	eV per formula unit

Density functional theory data (PBE-GGA) for a relaxed CaScMn2 crystal.

Geometry as POSCAR:
```
CaScMn2
1.0
-3.6823 -0.9080 -2.4576
1.8603 -1.7781 -2.1304
0.0133 -5.6054 2.0511
Sc Ca Mn
1 1 2
Direct
0.0000 0.4812 0.4111 Sc
0.5000 0.7867 0.8040 Ca
0.0000 0.1780 0.0206 Mn
0.5000 0.0541 0.2643 Mn
```

Output
calculated total energy	-6.33	eV per atom
energy above the lowest structure with this stoichiometry	98.0	meV per atom
size of the total moment	5.9	μB/f.u.
formation energy	1.34	eV per formula unit

Density functional theory data (PBE-GGA) for a relaxed LiAc3Pb2 crystal.

Geometry as POSCAR:
```
LiAc3Pb2
1.0
7.6478 0.0000 0.0000
0.0000 8.7240 0.0000
-3.8239 -4.3620 7.6139
Li Ac Pb
2 6 4
Direct
0.0000 0.5000 0.0000 Li
0.0000 0.0000 0.0000 Li
0.5000 0.2500 0.0000 Ac
0.5000 0.7500 0.0000 Ac
0.7762 0.0262 0.5525 Ac
0.2238 0.4738 0.4475 Ac
0.2238 0.9738 0.4475 Ac
0.7762 0.5262 0.5525 Ac
0.5910 0.3706 0.7413 Pb
0.8497 0.1294 0.2587 Pb
0.1503 0.8706 0.7413 Pb
0.4090 0.6294 0.2587 Pb
```

Output
calculated total energy	-3.83	eV per atom
energy above the lowest structure with this stoichiometry	234.8	meV per atom
size of the total moment	1.2	μB/f.u.
formation energy	-1.32	eV per formula unit

Density functional theory data (PBE-GGA) for a relaxed TbNdZnPb crystal.

Geometry as POSCAR:
```
TbNdZnPb
1.0
5.3347 0.0000 0.0000
2.6673 4.6200 0.0000
2.6673 1.5400 4.3558
Pb Nd Zn Tb
1 1 1 1
Direct
0.5000 0.5000 0.5000 Pb
0.2500 0.2500 0.2500 Nd
0.0000 0.0000 0.0000 Zn
0.7500 0.7500 0.7500 Tb
```

Output
calculated total energy	-3.98	eV per atom
size of the total moment	0.0	μB/f.u.
formation energy	-1.56	eV per formula unit